(1)
Tb3Dy6ErTh2 GGA-PBE optimized geometry; energy = -5.05 eV/atom; formation enthalpy at 0 K = 22 meV/atom
1.0
-0.5734 3.2162 -5.2127
-3.9015 -4.5978 1.2181
-5.5881 7.8917 6.6973
Tb Dy Er Th
3 6 1 2
Direct
0.1665 0.8335 0.5000
0.8335 0.1665 0.5000
0.5000 0.5000 0.5000
0.9173 0.5810 0.7526
0.7462 0.7462 0.2478
0.0827 0.4190 0.2474
0.5810 0.9173 0.7526
0.2538 0.2538 0.7522
0.4190 0.0827 0.2474
0.0000 0.0000 0.0000
0.3334 0.6666 0.0000
0.6666 0.3334 0.0000

(2)
Ba3In2P4O16 GGA-PBE optimized geometry; energy = -6.97 eV/atom; formation energy (no corrections) = -2.48 eV/atom
1.0
9.0496 -0.0338 0.0000
-3.9799 8.4133 0.0000
0.0000 0.0000 9.8281
Ba In P O
6 4 8 32
Direct
0.0000 0.0000 0.0000
0.0000 0.5000 0.5000
0.7339 0.0515 0.3314
0.2661 0.4485 0.8314
0.2661 0.9485 0.6686
0.7339 0.5515 0.1686
0.7412 0.2381 0.8707
0.2588 0.2619 0.3707
0.2588 0.7619 0.1293
0.7412 0.7381 0.6293
0.9646 0.1430 0.6369
0.0354 0.3570 0.1369
0.0354 0.8570 0.3631
0.9646 0.6430 0.8631
0.4143 0.1850 0.0830
0.5857 0.3150 0.5830
0.5857 0.8150 0.9170
0.4143 0.6850 0.4170
0.8094 0.9906 0.5984
0.1906 0.5094 0.0984
0.1906 0.0094 0.4016
0.8094 0.4906 0.9016
0.0428 0.2250 0.4987
0.9572 0.2750 0.9987
0.9572 0.7750 0.5013
0.0428 0.7250 0.0013
0.0869 0.1139 0.7278
0.9131 0.3861 0.2278
0.9131 0.8861 0.2722
0.0869 0.6139 0.7722
0.9194 0.2693 0.7083
0.0806 0.2307 0.2083
0.0806 0.7307 0.2917
0.9194 0.7693 0.7917
0.4369 0.2910 0.2139
0.5631 0.2090 0.7139
0.5631 0.7090 0.7861
0.4369 0.7910 0.2861
0.5920 0.2092 0.0504
0.4080 0.2908 0.5504
0.4080 0.7908 0.9496
0.5920 0.7092 0.4496
0.2992 0.0085 0.1142
0.7008 0.4915 0.6142
0.7008 0.9915 0.8858
0.2992 0.5085 0.3858
0.3361 0.2399 0.9673
0.6639 0.2601 0.4673
0.6639 0.7601 0.0327
0.3361 0.7399 0.5327